MnAs2Pb | PBE | relaxed

```
4
Lattice="-0.985 4.433 -1.841 -3.781 -1.280 2.842 0.649 2.367 3.276" Properties=species:S:1:pos:R:3 pbc="T T T"
Pb -1.566 0.543 3.059
As 0.000 0.000 0.000
As -2.383 1.577 0.501
Mn -0.168 3.400 0.718
```

## Properties
energy relative to the elements: 308 meV/atom
SG: C2/m, No. 12
electronic total energy: -20.94 eV/cell
excess energy over the best structure of this formula in the dataset: 0.355 eV per atom